# 1
Crystalline Y2Tl3W4C3 at its relaxed geometry, computed with PBE-GGA.

Values from the calculation:
DFT total energy: -0.3048 Ha/atom

```
Y2Tl3W4C3
1.0
5.001 -2.910 0.000
5.001 2.910 0.000
-3.472 0.000 14.151
C Tl W Y
6 6 8 4
direct
0.500 0.000 0.000
0.155 0.672 0.001
0.328 0.845 0.499
0.000 0.500 0.500
0.672 0.155 0.501
0.845 0.328 0.999
0.173 0.416 0.246
0.990 0.010 0.250
0.584 0.827 0.254
0.416 0.173 0.746
0.010 0.990 0.750
0.827 0.584 0.754
0.845 0.693 0.067
0.201 0.015 0.067
0.985 0.799 0.433
0.307 0.155 0.433
0.693 0.845 0.567
0.015 0.201 0.567
0.799 0.985 0.933
0.155 0.307 0.933
0.538 0.381 0.106
0.619 0.462 0.394
0.381 0.538 0.606
0.462 0.619 0.894
```

# 2
Crystalline Y4TlZnC2 at its relaxed geometry, computed with PBE-GGA.

Values from the calculation:
DFT total energy: -0.2315 Ha/atom

```
Y4TlZnC2
1.0
3.624 0.000 0.000
-1.812 3.138 0.000
0.000 0.000 15.617
C Tl Y Zn
2 1 4 1
direct
0.333 0.667 0.260
0.333 0.667 0.740
0.000 0.000 0.000
0.667 0.333 0.173
0.000 0.000 0.346
0.000 0.000 0.654
0.667 0.333 0.827
0.667 0.333 0.500
```